# 1
Computed, not measured: an optimized crystal structure of RbAcBO4 at the PBE level of DFT.

Calculated values
**Volume**: 239 Å³ per cell
**Density**: 5.4 g/cm3
**DFT total energy**: -0.253 hartree per atom
**Formation energy (no corrections)**: -2379 meV per atom
**Space-group type**: No. 11

Cell: 5.804 5.403 7.869 Å, 90.00 104.17 90.00°
Each line ends with the local moment (μB).
Fractional positions:
Rb 0.742 0.750 0.951  0.00
Rb 0.258 0.250 0.049  0.00
Ac 0.754 0.750 0.455  0.03
Ac 0.246 0.250 0.545  0.03
B 0.212 0.750 0.327  -0.02
B 0.788 0.250 0.673  -0.02
O 0.949 0.469 0.704  0.23
O 0.051 0.969 0.296  0.23
O 0.051 0.531 0.296  0.23
O 0.949 0.031 0.704  0.23
O 0.382 0.750 0.215  0.26
O 0.618 0.250 0.785  0.26
O 0.345 0.750 0.518  0.14
O 0.655 0.250 0.482  0.14

---

# 2
Computed, not measured: an optimized crystal structure of RbAc2B2O6 at the PBE level of DFT.

Calculated values
**Volume**: 199 Å³ per cell
**Density**: 5.5 g/cm3
**DFT total energy**: -0.268 hartree per atom
**Formation energy (no corrections)**: -2540 meV per atom
**Space-group type**: No. 164

Cell: 5.296 5.296 8.179 Å, 90.00 90.00 120.00°
Fractional positions:
Rb 0.000 0.000 0.000
Ac 0.333 0.667 0.338
Ac 0.667 0.333 0.662
B 0.333 0.667 0.700
B 0.667 0.333 0.300
O 0.183 0.366 0.687
O 0.183 0.817 0.687
O 0.634 0.817 0.687
O 0.817 0.634 0.313
O 0.817 0.183 0.313
O 0.366 0.183 0.313

---

# 3
Computed, not measured: an optimized crystal structure of RbAc3B4O12 at the PBE level of DFT.

Calculated values
**Volume**: 341 Å³ per cell
**Density**: 4.9 g/cm3
**DFT total energy**: -0.281 hartree per atom
**Formation energy (no corrections)**: -2668 meV per atom
**Space-group type**: No. 155

Cell: 7.104 7.104 7.104 Å, 99.72 99.72 99.72°
Each line ends with the local moment (μB).
Fractional positions:
Rb 0.000 0.000 0.000  0.00
Ac 0.531 0.469 0.000  0.01
Ac 0.469 0.000 0.531  0.01
Ac 0.000 0.531 0.469  0.01
B 0.976 0.024 0.500  -0.01
B 0.024 0.500 0.976  -0.01
B 0.500 0.976 0.024  -0.01
B 0.500 0.500 0.500  -0.01
O 0.500 0.372 0.628  0.08
O 0.897 0.500 0.103  0.11
O 0.103 0.897 0.500  0.11
O 0.500 0.103 0.897  0.11
O 0.414 0.008 0.183  0.19
O 0.183 0.414 0.008  0.19
O 0.008 0.183 0.414  0.19
O 0.586 0.817 0.992  0.19
O 0.992 0.586 0.817  0.19
O 0.817 0.992 0.586  0.19
O 0.628 0.500 0.372  0.08
O 0.372 0.628 0.500  0.08

---

Result set for density of states at the Fermi level: 7.017; 1.207; 10.096 states/eV per cell, one per record in the order listed.